[1]
DFT (PBE-GGA) results for a relaxed Mg2TcAu crystal.

Summary:
Its total magnetization is 0.4295 μB per atom. For the offset from the most stable computed form, the calculation gives 41 meV per atom. Its density of states at the Fermi level is 0.484 states/eV/atom. The value obtained for the energy is -4.23 eV/atom. As for the formation energy: -0.022 eV/atom.

Structure (POSCAR):
```
Mg2TcAu
1.0
3.2842 0.0000 0.0000
0.0000 3.2842 0.0000
0.0000 0.0000 6.3424
Au Tc Mg
1 1 2
Cartesian
1.6421 1.6421 4.7568
1.6421 1.6421 1.5856
0.0000 0.0000 3.1368
0.0000 0.0000 0.0344
```



[2]
DFT (PBE-GGA) results for a relaxed AcPmSmGa crystal.

Summary:
Its total magnetization is 0.0002 μB per atom. Its density of states at the Fermi level is 1.879 states/eV/atom. The value obtained for the energy is -4.14 eV/atom. As for the formation energy: 0.013 eV/atom.

Structure (POSCAR):
```
AcPmSmGa
1.0
-3.0161 4.6068 0.8133
-3.1978 1.9922 -4.0970
-5.5428 -0.3340 0.3830
Sm Ac Pm Ga
1 1 1 1
Cartesian
-8.8176 4.6987 -2.1755
-5.8784 3.1325 -1.4504
-2.9392 1.5662 -0.7252
0.0000 0.0000 0.0000
```